A geometry-optimized Tb6Pm2Er3In structure, computed with PBE-GGA.

Summary:
- Space-group type: C2/m, No. 12
- Volume: 30.91 Å³/atom
- Magnetic moment: 0.000 μB/atom
- Calculated formation energy: -0.053 eV/atom
- Uncorrected energy: -4.529 eV/atom

a = 6.0970 Å, b = 6.0970 Å, c = 11.7059 Å
α = 94.98°, β = 94.98°, γ = 120.04°
Positions (direct):
Tb (0.9164, 0.5890, 0.7493)
Tb (0.7565, 0.7565, 0.2516)
Tb (0.0836, 0.4110, 0.2507)
Tb (0.5890, 0.9164, 0.7493)
Tb (0.2435, 0.2435, 0.7484)
Tb (0.4110, 0.0836, 0.2507)
Pm (0.3338, 0.6662, 0.0000)
Pm (0.6662, 0.3338, 0.0000)
Er (0.1668, 0.8332, 0.5000)
Er (0.8332, 0.1668, 0.5000)
Er (0.5000, 0.5000, 0.5000)
In (0.0000, 0.0000, 0.0000)